No. 1
Material: LaSm3Sn
Method: DFT, PBE
State: relaxed

Results
**Crystal system**: orthorhombic
**Size of the total moment**: 0.001 μB per cell
**V**: 332.8 Å³ per cell
**Formation energy from the elements**: -0.219 eV per atom
**D(E_F)**: 1.346 states/eV/atom

a b c (Å): 3.6299 6.6801 13.7265
angles (deg): 90.00 90.00 90.00
Closest atoms and distances in Å follow each position.
Space group Pmmn (No. 59, origin choice 2)
One atom of each set of equivalent atoms:
La  0.2500  0.2500  0.0126  6 La 3.63-3.82, 6 Sm 3.65-3.79
Sm  0.2500  0.2500  0.4254  4 Sn 3.22-3.40
Sm  0.2500  0.5026  0.7770  2 Sn 3.29, 4 Sm 3.31-3.63, 1 La 3.65
Sn  0.2500  0.7500  0.3808  8 Sm 3.22-3.40


No. 2
Material: LaTbSmSn
Method: DFT, PBE
State: relaxed

Results
**Crystal system**: cubic
**Size of the total moment**: 0.001 μB per cell
**V**: 485.0 Å³ per cell
**Formation energy from the elements**: -0.269 eV per atom
**D(E_F)**: 1.600 states/eV/atom

a b c (Å): 7.8569 7.8569 7.8569
angles (deg): 90.00 90.00 90.00
Closest atoms and distances in Å follow each position.
Space group F-43m (No. 216)
One atom of each set of equivalent atoms:
La  0.0000  0.0000  0.0000  4 Tb 3.40, 4 Sn 3.40
Tb  0.2500  0.2500  0.2500  4 La 3.40, 4 Sm 3.40
Sm  0.0000  0.0000  0.5000  4 Tb 3.40, 4 Sn 3.40
Sn  0.2500  0.2500  0.7500  4 La 3.40, 4 Sm 3.40


No. 3
Material: LaSmSnTe
Method: DFT, PBE
State: relaxed

Results
**Crystal system**: trigonal
**E_form (uncorrected)**: -1149 meV per atom
**Size of the total moment**: 0.000 μB per cell
**V**: 401.1 Å³ per cell
**D(E_F)**: 0.385 states/eV/atom

a b c (Å): 4.5503 4.5503 22.3672
angles (deg): 90.00 90.00 120.00
Closest atoms and distances in Å follow each position.
Space group R3m (No. 160, hexagonal axes)
One atom of each set of equivalent atoms:
La  0.0000  0.0000  0.0000  3 Sn 3.21, 3 Te 3.30
Sm  0.0000  0.0000  0.5065  3 Sn 3.15, 3 Te 3.23
Sn  0.0000  0.0000  0.2506  3 Sm 3.15, 3 La 3.21
Te  0.0000  0.0000  0.7559  3 Sm 3.23, 3 La 3.30


No. 4
Material: La3Sm3Tl2Sn
Method: DFT, PBE
State: relaxed

Results
**Crystal system**: hexagonal
**Size of the total moment**: 0.003 μB per cell
**V**: 292.7 Å³ per cell
**Formation energy from the elements**: -0.348 eV per atom
**D(E_F)**: 1.306 states/eV/atom

a b c (Å): 8.7731 8.7731 4.3909
angles (deg): 90.00 90.00 120.00
Closest atoms and distances in Å follow each position.
Space group P-62m (No. 189)
One atom of each set of equivalent atoms:
La  0.0000  0.7245  0.0000  2 Tl 3.21, 2 Sn 3.27
Sm  0.0000  0.3974  0.5000  4 Tl 3.47, 1 Sn 3.49, 6 La 3.61-3.79
Tl  0.3333  0.6667  0.0000  3 La 3.21, 6 Sm 3.47
Sn  0.0000  0.0000  0.5000  6 La 3.27, 3 Sm 3.49


No. 5
Material: LaSmTlSn
Method: DFT, PBE
State: relaxed

Results
**Crystal system**: tetragonal
**Size of the total moment**: 0.075 μB per cell
**V**: 119.3 Å³ per cell
**Formation energy from the elements**: -0.536 eV per atom
**D(E_F)**: 1.318 states/eV/atom

a b c (Å): 4.0724 4.0724 7.1913
angles (deg): 90.00 90.00 90.00
Closest atoms and distances in Å follow each position.
Space group P4mm (No. 99)
One atom of each set of equivalent atoms:
La  0.0000  0.0000  0.0000  4 Sn 3.42, 2 Sm 3.47-3.72, 4 Tl 3.49
Sm  0.0000  0.0000  0.5177  4 Sn 3.31, 4 Tl 3.37, 1 La 3.47
Tl  0.5000  0.5000  0.2731  4 Sm 3.37, 1 Sn 3.38, 4 La 3.49
Sn  0.5000  0.5000  0.7435  4 Sm 3.31, 1 Tl 3.38, 4 La 3.42


No. 6
Material: LaSmTlSn
Method: DFT, PBE
State: relaxed

Results
**Crystal system**: cubic
**Size of the total moment**: 0.001 μB per cell
**V**: 478.3 Å³ per cell
**Formation energy from the elements**: -0.531 eV per atom
**D(E_F)**: 0.654 states/eV/atom

a b c (Å): 7.8203 7.8203 7.8203
angles (deg): 90.00 90.00 90.00
Closest atoms and distances in Å follow each position.
Space group F-43m (No. 216)
One atom of each set of equivalent atoms:
La  0.0000  0.0000  0.0000  4 Tl 3.39, 4 Sn 3.39
Sm  0.0000  0.0000  0.5000  4 Tl 3.39, 4 Sn 3.39
Tl  0.2500  0.2500  0.2500  4 La 3.39, 4 Sm 3.39
Sn  0.2500  0.2500  0.7500  4 La 3.39, 4 Sm 3.39


No. 7
Material: LaSmZnSn
Method: DFT, PBE
State: relaxed

Results
**Crystal system**: cubic
**Size of the total moment**: 0.000 μB per cell
**V**: 440.9 Å³ per cell
**Formation energy from the elements**: -0.532 eV per atom
**D(E_F)**: 0.768 states/eV/atom

a b c (Å): 7.6114 7.6114 7.6114
angles (deg): 90.00 90.00 90.00
Closest atoms and distances in Å follow each position.
Space group F-43m (No. 216)
One atom of each set of equivalent atoms:
La  0.0000  0.0000  0.0000  4 Sn 3.30, 4 Zn 3.30
Sm  0.0000  0.0000  0.5000  4 Sn 3.30, 4 Zn 3.30
Zn  0.2500  0.2500  0.7500  4 La 3.30, 4 Sm 3.30
Sn  0.2500  0.2500  0.2500  4 La 3.30, 4 Sm 3.30


No. 8
Material: La2SmZn2Sn2
Method: DFT, PBE
State: relaxed

Results
**Crystal system**: trigonal
**Size of the total moment**: 0.000 μB per cell
**V**: 553.1 Å³ per cell
**Formation energy from the elements**: -0.411 eV per atom
**D(E_F)**: 0.906 states/eV/atom

a b c (Å): 4.6681 4.6681 29.3083
angles (deg): 90.00 90.00 120.00
Closest atoms and distances in Å follow each position.
Space group R-3m (No. 166, hexagonal axes)
One atom of each set of equivalent atoms:
La  0.0000  0.0000  0.1334  3 Zn 3.11, 3 La 3.33, 3 Sn 3.38
Sm  0.0000  0.0000  0.0000  6 Sn 3.28, 6 Zn 3.58
Zn  0.0000  0.0000  0.4136  3 Sn 2.74
Sn  0.0000  0.0000  0.2694  3 Zn 2.74